Record 1
Material: Li2Pm3ErSe6
Method: DFT, PBE
State: relaxed

Cell lengths 7.1042, 7.1042, 7.0891 Å; angles 99.60, 99.60, 120.00 degrees
Fractional positions:
Li 0.1668 0.8332 0.0000
Li 0.8332 0.1668 0.0000
Pm 0.0000 0.0000 0.5000
Pm 0.3327 0.6673 0.5000
Pm 0.6673 0.3327 0.5000
Er 0.5000 0.5000 0.0000
Se 0.0865 0.4222 0.7668
Se 0.2428 0.2428 0.2348
Se 0.4222 0.0865 0.7668
Se 0.5778 0.9135 0.2332
Se 0.7572 0.7572 0.7652
Se 0.9135 0.5778 0.2332

The raw formation energy is -1.733 eV/atom. The electronic total energy comes out at -64.3 eV for the cell shown. For the density of states at the Fermi level, the calculation gives 2.80 states/eV per cell.

---

Record 2
Material: LiPm4ErSe8
Method: DFT, PBE
State: relaxed

Cell lengths 8.4120, 8.4120, 8.4120 Å; angles 61.75, 61.75, 61.75 degrees
Fractional positions:
Li 0.0000 0.0000 0.0000
Pm 0.0006 0.0006 0.5028
Pm 0.0006 0.5028 0.0006
Pm 0.5028 0.0006 0.0006
Pm 0.6151 0.6151 0.6151
Er 0.3827 0.3827 0.3827
Se 0.2207 0.7680 0.7680
Se 0.2474 0.2474 0.2474
Se 0.2474 0.2474 0.7679
Se 0.2474 0.7679 0.2474
Se 0.7552 0.7552 0.7552
Se 0.7680 0.2207 0.7680
Se 0.7679 0.2474 0.2474
Se 0.7680 0.7680 0.2207

The raw formation energy is -1.697 eV/atom. The electronic total energy comes out at -77.1 eV for the cell shown. For the density of states at the Fermi level, the calculation gives 0.00 states/eV per cell.

---

Record 3
Material: Li3Pm2ErSe6
Method: DFT, PBE
State: relaxed

Cell lengths 7.1580, 7.1580, 6.9349 Å; angles 99.89, 99.89, 120.01 degrees
Fractional positions:
Li 0.0000 0.0000 0.0000
Li 0.3362 0.6638 0.0000
Li 0.6638 0.3362 0.0000
Pm 0.1669 0.8331 0.5000
Pm 0.8331 0.1669 0.5000
Er 0.5000 0.5000 0.5000
Se 0.0898 0.4146 0.2435
Se 0.2598 0.2598 0.7546
Se 0.4146 0.0898 0.2435
Se 0.5854 0.9102 0.7565
Se 0.7402 0.7402 0.2454
Se 0.9102 0.5854 0.7565

The raw formation energy is -1.679 eV/atom. The electronic total energy comes out at -60.9 eV for the cell shown. For the density of states at the Fermi level, the calculation gives 0.00 states/eV per cell.

---

Record 4
Material: Li2Pm2ErSi2
Method: DFT, PBE
State: relaxed

Cell lengths 9.7524, 9.7524, 9.7524 Å; angles 26.04, 26.04, 26.04 degrees
Fractional positions:
Li 0.1118 0.1118 0.1118
Li 0.8882 0.8882 0.8882
Pm 0.3772 0.3772 0.3772
Pm 0.6228 0.6228 0.6228
Er 0.5000 0.5000 0.5000
Si 0.2283 0.2283 0.2283
Si 0.7717 0.7717 0.7717

The raw formation energy is -0.392 eV/atom. The electronic total energy comes out at -31.5 eV for the cell shown. For the density of states at the Fermi level, the calculation gives 4.26 states/eV per cell.